DFT (PBE) results for an optimized crystal structure of Ga2CoSb2.

Properties
The energy relative to the elements, uncorrected comes out at 0.19 eV/atom. The value obtained for the total magnetic moment is 0.00 μB per formula unit.

The structure in extended XYZ format:
```
10
Lattice="6.5714 0.0000 0.0000 0.0000 6.5714 0.0000 0.0000 0.0000 5.1881" Properties=species:S:1:pos:R:3 pbc="T T T"
Ga 1.0738 2.2119 0.0000
Ga 2.2119 5.4976 0.0000
Ga 4.3596 1.0738 0.0000
Ga 5.4976 4.3596 0.0000
Co 0.0000 0.0000 2.5941
Co 3.2857 3.2857 2.5941
Sb 1.0344 4.3202 2.5941
Sb 2.2513 1.0344 2.5941
Sb 4.3202 5.5370 2.5941
Sb 5.5370 2.2513 2.5941
```

***

DFT (PBE) results for an optimized crystal structure of HfHgS2.

Properties
The energy relative to the elements, uncorrected comes out at -0.90 eV/atom. The value obtained for the total magnetic moment is 0.00 μB per formula unit.

The structure in extended XYZ format:
```
16
Lattice="6.3833 0.0000 0.0000 0.0000 4.0586 0.0000 0.0000 0.0000 13.9645" Properties=species:S:1:pos:R:3 pbc="T T T"
Hf 0.0722 1.0147 1.6991
Hf 3.1194 3.0440 8.6813
Hf 3.2638 1.0147 5.2832
Hf 6.3111 3.0440 12.2654
Hg 0.9570 3.0440 5.0565
Hg 2.2346 1.0147 12.0387
Hg 4.1486 3.0440 1.9258
Hg 5.4263 1.0147 8.9080
S 0.8198 3.0440 9.9406
S 1.1479 3.0440 0.6410
S 2.0437 1.0147 7.6233
S 2.3718 1.0147 2.9584
S 4.0115 3.0440 11.0061
S 4.3395 3.0440 6.3412
S 5.2354 1.0147 13.3235
S 5.5634 1.0147 4.0239
```